A relaxed BeVTc3 crystal, computed with PBE.

Calculated values
Energy above the lowest structure with this stoichiometry = 0.921 eV per atom
Magnetization = 1.842 μB per cell
Raw total energy = -7.32 eV per atom

abc: 4.435 4.435 4.435
angles: 90.00 90.00 90.00
Space group Pm-3m (No. 221)
Asymmetric unit:
1 Be 0.000 0.000 0.000 (multiplicity 1)
2 V 0.500 0.500 0.500 (multiplicity 1)
3 Tc 0.000 0.500 0.500 (multiplicity 3)